[1]
Here is a relaxed Ca2Ni4AsP3 crystal from Alexandria. Energies are from GGA-PBE.

Cell and atoms, written as POSCAR:
```
Ca2Ni4AsP3
1.0
4.0275 0.0000 0.0000
0.0000 4.0275 0.0000
0.0000 0.0000 9.3247
Ca Ni As P
2 4 1 3
direct
0.0000 0.5000 0.2457
0.5000 0.0000 0.7543
0.0000 0.0000 0.0000
0.0000 0.5000 0.6290
0.5000 0.0000 0.3710
0.5000 0.5000 0.0000
0.0000 0.0000 0.5000
0.0000 0.5000 0.8720
0.5000 0.0000 0.1280
0.5000 0.5000 0.5000
```

density of states at the Fermi level	5.19	states/eV/f.u.
total magnetization	0.00	μB per atom
energy of formation from the pure elements	-0.76	eV/atom
calculated volume	151	Å³/cell
density	5.300	g/cm3


[2]
Here is a relaxed Ca3Ni9AsP2 crystal from Alexandria. Energies are from GGA-PBE.

Cell and atoms, written as POSCAR:
```
Ca3Ni9AsP2
1.0
5.8846 0.0000 0.0000
-2.9423 5.0962 0.0000
0.0000 0.0000 8.0785
Ca Ni As P
3 9 1 2
direct
0.0000 0.0000 0.0000
0.3333 0.6667 0.6449
0.6667 0.3333 0.3551
0.0000 0.5000 0.0000
0.1457 0.2914 0.2823
0.1457 0.8543 0.2823
0.2914 0.1457 0.7177
0.5000 0.0000 0.0000
0.5000 0.5000 0.0000
0.7086 0.8543 0.2823
0.8543 0.1457 0.7177
0.8543 0.7086 0.7177
0.0000 0.0000 0.5000
0.3333 0.6667 0.1720
0.6667 0.3333 0.8280
```

density of states at the Fermi level	10.25	states/eV/f.u.
total magnetization	0.00	μB per atom
energy of formation from the pure elements	-0.35	eV/atom
calculated volume	242	Å³/cell
density	5.383	g/cm3


[3]
Here is a relaxed Ca2Ni4As3P crystal from Alexandria. Energies are from GGA-PBE.

Cell and atoms, written as POSCAR:
```
Ca2Ni4As3P
1.0
4.1240 0.0000 0.0000
0.0000 4.1240 0.0000
0.0000 0.0000 9.4972
Ca Ni As P
2 4 3 1
direct
0.0000 0.5000 0.2473
0.5000 0.0000 0.7527
0.0000 0.0000 0.5000
0.0000 0.5000 0.8844
0.5000 0.0000 0.1156
0.5000 0.5000 0.5000
0.0000 0.0000 0.0000
0.0000 0.5000 0.6337
0.5000 0.0000 0.3663
0.5000 0.5000 0.0000
```

density of states at the Fermi level	5.69	states/eV/f.u.
total magnetization	0.00	μB per atom
energy of formation from the pure elements	-0.69	eV/atom
calculated volume	162	Å³/cell
density	5.867	g/cm3